No. 1
An optimized crystal structure of LaAgPbS3. Source: the Open Quantum Materials Database, functional GGA-PBE.

## Properties
The total energy is -5.059 eV/atom. For the density, the calculation gives 6.27 g/cm3. As for the relative energy among the computed polymorphs: 7 kJ/mol of formula units. For the total moment, the calculation gives 0.0 μB per formula unit.

a b c (Å): 11.535 4.309 11.731
angles (deg): 90.00 90.00 90.00
Positions (direct):
S1 0.038 0.750 0.141
La1 0.490 0.750 0.820
La2 0.010 0.250 0.320
Ag1 0.753 0.250 0.795
Pb1 0.669 0.250 0.513
S2 0.095 0.250 0.560
La3 0.510 0.250 0.180
S3 0.775 0.250 0.179
S4 0.225 0.750 0.821
Ag2 0.747 0.750 0.295
Pb2 0.331 0.750 0.487
Pb3 0.831 0.750 0.013
S5 0.538 0.750 0.359
La4 0.990 0.750 0.680
S6 0.905 0.750 0.440
S7 0.962 0.250 0.859
S8 0.725 0.750 0.679
S9 0.462 0.250 0.641
Ag3 0.247 0.750 0.205
Pb4 0.169 0.250 0.987
Ag4 0.253 0.250 0.705
S10 0.405 0.750 0.060
S11 0.595 0.250 0.940
S12 0.275 0.250 0.321

=====

No. 2
An optimized crystal structure of ZrInAsO. Source: the Open Quantum Materials Database, functional GGA-PBE.

## Properties
The total energy is -6.387 eV/atom. For the density, the calculation gives 6.66 g/cm3. As for the relative energy among the computed polymorphs: 19 kJ/mol of formula units. For the total moment, the calculation gives 0.0 μB per formula unit.

a b c (Å): 3.833 3.833 10.072
angles (deg): 90.00 90.00 90.00
Positions (direct):
As1 0.500 0.000 0.751
O1 0.500 0.500 0.000
In1 0.000 0.000 0.500
Zr1 0.000 0.500 0.887
As2 0.000 0.500 0.249
O2 0.000 0.000 0.000
Zr2 0.500 0.000 0.113
In2 0.500 0.500 0.500

=====

No. 3
An optimized crystal structure of DyPdNO. Source: the Open Quantum Materials Database, functional GGA-PBE.

## Properties
The total energy is -6.882 eV/atom. For the density, the calculation gives 9.65 g/cm3. As for the relative energy among the computed polymorphs: 135 kJ/mol of formula units. For the total moment, the calculation gives 0.0 μB per formula unit.

a b c (Å): 4.793 4.793 4.480
angles (deg): 90.00 90.00 90.00
Positions (direct):
N1 0.000 0.500 0.503
Dy1 0.000 0.000 0.500
O1 0.000 0.000 0.000
Dy2 0.500 0.500 0.500
Pd1 0.000 0.500 0.002
N2 0.500 0.000 0.497
O2 0.500 0.500 0.000
Pd2 0.500 0.000 0.998

=====

No. 4
An optimized crystal structure of Hf4Zr2Al3N3. Source: the Open Quantum Materials Database, functional GGA-PBE.

## Properties
The total energy is -8.853 eV/atom. For the density, the calculation gives 8.84 g/cm3. For the total moment, the calculation gives 0.0 μB per formula unit.

a b c (Å): 5.564 5.564 14.640
angles (deg): 101.00 101.00 60.03
Positions (direct):
N1 0.159 0.670 0.000
N2 0.841 0.330 0.000
N3 0.500 0.000 0.000
N4 0.330 0.841 0.500
Hf1 0.198 0.027 0.088
Zr1 0.633 0.469 0.407
Zr2 0.469 0.633 0.907
Al1 0.417 0.231 0.750
Al2 0.231 0.417 0.250
Hf2 0.973 0.802 0.412
Zr3 0.531 0.367 0.093
Zr4 0.367 0.531 0.593
Hf3 0.027 0.198 0.588
Al3 0.769 0.583 0.750
Al4 0.933 0.067 0.250
Al5 0.583 0.769 0.250
Hf4 0.860 0.696 0.088
N5 0.000 0.500 0.500
Hf5 0.304 0.140 0.412
Hf6 0.696 0.860 0.588
N6 0.670 0.159 0.500
Hf7 0.140 0.304 0.912
Hf8 0.802 0.973 0.912
Al6 0.067 0.933 0.750

=====

No. 5
An optimized crystal structure of Dy2HoSn4Au4. Source: the Open Quantum Materials Database, functional GGA-PBE.

## Properties
The total energy is -4.525 eV/atom. For the density, the calculation gives 11.37 g/cm3. For the total moment, the calculation gives 0.0 μB per formula unit.

a b c (Å): 8.831 8.831 8.831
angles (deg): 149.93 131.62 58.02
Positions (direct):
Dy1 0.628 0.128 0.500
Sn1 0.212 0.212 0.000
Sn2 0.302 0.500 0.802
Sn3 0.698 0.500 0.198
Au1 0.965 0.670 0.295
Au2 0.374 0.670 0.705
Ho1 0.000 0.000 0.000
Sn4 0.788 0.788 0.000
Au3 0.035 0.330 0.705
Au4 0.626 0.330 0.295
Dy2 0.372 0.872 0.500

=====

No. 6
An optimized crystal structure of NdTmGaSe3. Source: the Open Quantum Materials Database, functional GGA-PBE.

## Properties
The total energy is -5.062 eV/atom. For the density, the calculation gives 7.19 g/cm3. For the total moment, the calculation gives 0.0 μB per formula unit.

a b c (Å): 7.541 7.541 9.791
angles (deg): 90.00 90.00 149.07
Positions (direct):
Nd1 0.274 0.726 0.750
Ga1 0.976 0.024 0.750
Se1 0.854 0.146 0.543
Se2 0.146 0.854 0.043
Se3 0.146 0.854 0.457
Se4 0.377 0.623 0.250
Tm1 0.500 0.500 0.000
Se5 0.854 0.146 0.957
Tm2 0.500 0.500 0.500
Se6 0.623 0.377 0.750
Nd2 0.726 0.274 0.250
Ga2 0.024 0.976 0.250

=====

No. 7
An optimized crystal structure of Mg2CdPd. Source: the Open Quantum Materials Database, functional GGA-PBE.

## Properties
The total energy is -2.750 eV/atom. For the density, the calculation gives 6.03 g/cm3.

a b c (Å): 3.287 3.287 6.820
angles (deg): 90.00 90.00 90.00
Positions (direct):
Pd1 0.000 0.000 0.000
Mg1 0.500 0.500 0.219
Mg2 0.500 0.500 0.781
Cd1 0.000 0.000 0.500

=====

No. 8
An optimized crystal structure of BeInCuNi. Source: the Open Quantum Materials Database, functional GGA-PBE.

## Properties
The total energy is -3.897 eV/atom. For the density, the calculation gives 7.83 g/cm3. As for the relative energy among the computed polymorphs: 0 kJ/mol of formula units. For the total moment, the calculation gives 0.0 μB per formula unit.

a b c (Å): 4.195 4.195 4.195
angles (deg): 60.00 60.00 60.00
Positions (direct):
Cu1 0.000 0.000 0.000
Ni1 0.500 0.500 0.500
Be1 0.750 0.750 0.750
In1 0.250 0.250 0.250

=====

No. 9
An optimized crystal structure of Tb2Ni3P. Source: the Open Quantum Materials Database, functional GGA-PBE.

## Properties
The total energy is -5.824 eV/atom. For the density, the calculation gives 9.47 g/cm3. For the total moment, the calculation gives 0.0 μB per formula unit.

a b c (Å): 5.003 5.003 5.003
angles (deg): 61.77 61.77 61.77
Positions (direct):
Tb1 0.377 0.377 0.377
Tb2 0.623 0.623 0.623
P1 0.000 0.000 0.000
Ni1 0.000 0.500 0.000
Ni2 0.000 0.000 0.500
Ni3 0.500 0.000 0.000

=====

No. 10
An optimized crystal structure of TmMgMo. Source: the Open Quantum Materials Database, functional GGA-PBE.

## Properties
The total energy is -4.359 eV/atom. For the density, the calculation gives 6.04 g/cm3. As for the relative energy among the computed polymorphs: 102 kJ/mol of formula units. For the total moment, the calculation gives 2.9 μB per formula unit.

a b c (Å): 4.827 4.827 4.827
angles (deg): 60.00 60.00 60.00
Positions (direct):
Mg1 0.250 0.250 0.250
Mo1 0.750 0.750 0.750
Tm1 0.000 0.000 0.000

=====

No. 11
An optimized crystal structure of Li4AlCd2Ga. Source: the Open Quantum Materials Database, functional GGA-PBE.

## Properties
The total energy is -2.282 eV/atom. For the density, the calculation gives 4.40 g/cm3.

a b c (Å): 4.535 4.535 6.405
angles (deg): 90.00 90.00 90.00
Positions (direct):
Li1 0.000 0.000 0.000
Al1 0.500 0.500 0.000
Li2 0.000 0.500 0.749
Cd1 0.000 0.500 0.250
Ga1 0.000 0.000 0.500
Li3 0.500 0.000 0.251
Li4 0.500 0.500 0.500
Cd2 0.500 0.000 0.750

=====

No. 12
An optimized crystal structure of CsDyLu. Source: the Open Quantum Materials Database, functional GGA-PBE.

## Properties
The total energy is -2.017 eV/atom. For the density, the calculation gives 6.57 g/cm3. For the total moment, the calculation gives 0.0 μB per formula unit.

a b c (Å): 5.520 5.520 5.520
angles (deg): 60.00 60.00 60.00
Positions (direct):
Cs1 0.000 0.000 0.000
Dy1 0.750 0.750 0.750
Lu1 0.250 0.250 0.250